Entry 1:
DFT (PBE) results for a geometry-optimized V2CrSiIr structure.

Cell: 4.6336 4.4068 4.6336 Å, 90.00 90.00 90.00°
Closest atoms and distances in Å follow each position.
Fractional positions:
Si (0.0000, 0.5000, 0.0000)  2 Ir 2.20
Cr (0.5000, 0.5000, 0.5000)  8 V 3.20, 4 Si 3.28
V (0.0000, 0.0000, 0.5000)  2 Ir 2.32
Ir (0.0000, 0.0000, 0.0000)  2 Si 2.20, 4 V 2.32
V (0.5000, 0.0000, 0.0000)  2 Ir 2.32

Output
**Raw formation energy**: 1.267 eV per atom



Entry 2:
DFT (PBE) results for a geometry-optimized Tb5ScIn6 structure.

Cell: 5.2928 9.1664 9.1664 Å, 120.21 106.78 106.78°
Closest atoms and distances in Å follow each position.
Fractional positions:
In (0.2657, 0.7657, 0.7657)  2 Sc 3.17, 6 Tb 3.24-3.30, 1 In 3.49
Tb (0.5000, 0.5000, 0.5000)  8 In 3.22-3.30
In (0.2420, 0.0797, 0.4043)  1 Sc 3.15, 7 Tb 3.21-3.29
In (0.7580, 0.5957, 0.9203)  1 Sc 3.15, 7 Tb 3.21-3.29
In (0.7343, 0.2343, 0.2343)  2 Sc 3.17, 6 Tb 3.24-3.30, 1 In 3.49
In (0.2420, 0.4043, 0.0797)  1 Sc 3.15, 7 Tb 3.21-3.29
In (0.7580, 0.9203, 0.5957)  1 Sc 3.15, 7 Tb 3.21-3.29
Tb (0.0000, 0.3356, 0.6644)  8 In 3.27-3.29
Tb (0.5000, 0.1719, 0.8281)  8 In 3.21-3.26
Tb (0.0000, 0.6644, 0.3356)  8 In 3.27-3.29
Tb (0.5000, 0.8281, 0.1719)  8 In 3.21-3.26
Sc (0.0000, 0.0000, 0.0000)  8 In 3.15-3.17

Output
**Formation enthalpy at 0 K**: -0.46 eV/atom



E_tot readings, ordered: -7.16, -4.29 eV/atom